{"formula": "InTcAg2", "functional": "GGA-PBE", "state": "optimized geometry", "spacegroup": "No. 10", "rho_kg_m3": 9882, "volume_a3_per_atom": 18.0, "e_tot_ev_per_atom": -4.310, "n_ef_per_ev_fu": 3.26, "magmom_total_mub_per_fu": 0.0, "delta_e_f_ev_per_atom": 0.391, "cell": [[2.854, 0.000, 0.000], [0.000, 4.993, 0.000], [-0.267, 0.000, 5.054]], "species": ["In", "Tc", "Ag", "Ag"], "frac_coords": [[0.000, 0.000, 0.000], [0.500, 0.000, 0.500], [0.233, 0.500, 0.742], [0.767, 0.500, 0.258]]}